(1)
First-principles (SCAN) data for TiMoPd3 at its PBEsol-relaxed geometry, as listed in Alexandria.

Cell lengths 4.6694, 4.6694, 4.6694 Å; angles 90.00, 90.00, 90.00 degrees
Space group Pm-3m (No. 221)
One atom of each set of equivalent atoms:
Ti (0.0000, 0.0000, 0.0000) [1 per cell]
Mo (0.5000, 0.5000, 0.5000) [1 per cell]
Pd (0.0000, 0.5000, 0.5000) [3 per cell]

Properties
Electronic total energy: -28.814 eV/atom
Total moment: 1.78 μB/cell
ΔE_f: 1033.9 meV/atom

=====

(2)
First-principles (SCAN) data for CdInAg2 at its PBEsol-relaxed geometry, as listed in Alexandria.

Cell lengths 4.3209, 4.3209, 7.9876 Å; angles 90.00, 90.00, 90.00 degrees
Space group I4/mmm (No. 139)
One atom of each set of equivalent atoms:
Cd (0.0000, 0.0000, 0.0000) [2 per cell]
In (0.0000, 0.0000, 0.5000) [2 per cell]
Ag (0.0000, 0.5000, 0.2500) [4 per cell]

Properties
Electronic total energy: -31.638 eV/atom
Total moment: 0.00 μB/cell
ΔE_f: -4.6 meV/atom

=====

(3)
First-principles (SCAN) data for CsYSeCl2O3 at its PBEsol-relaxed geometry, as listed in Alexandria.

Cell lengths 6.5924, 6.9438, 17.8133 Å; angles 90.00, 103.73, 90.00 degrees
Space group P2_1/c (No. 14)
One atom of each set of equivalent atoms:
Cs (0.2393, 0.2077, 0.0566) [4 per cell]
Y (0.1381, 0.6700, 0.2580) [4 per cell]
Se (0.3669, 0.1802, 0.2932) [4 per cell]
Cl (0.1340, 0.6898, 0.1101) [4 per cell]
Cl (0.2356, 0.6304, 0.4091) [4 per cell]
O (0.1752, 0.1544, 0.7512) [4 per cell]
O (0.1873, 0.5062, 0.7710) [4 per cell]
O (0.4928, 0.6602, 0.2744) [4 per cell]

Properties
Energy relative to the elements, uncorrected: -2.252 eV per atom
Electronic total energy: -17.300 eV/atom
Total moment: 0.00 μB/cell

=====

(4)
First-principles (SCAN) data for SrScSe2Cl at its PBEsol-relaxed geometry, as listed in Alexandria.

Cell lengths 5.2010, 5.2010, 4.8203 Å; angles 90.00, 90.00, 90.00 degrees
Space group P4/mmm (No. 123)
One atom of each set of equivalent atoms:
Sr (0.0000, 0.0000, 0.0000) [1 per cell]
Sc (0.5000, 0.5000, 0.5000) [1 per cell]
Se (0.0000, 0.5000, 0.5000) [2 per cell]
Cl (0.5000, 0.5000, 0.0000) [1 per cell]

Properties
Energy relative to the elements, uncorrected: -2.038 eV per atom
Electronic total energy: -18.968 eV/atom
Total moment: 0.00 μB/cell

=====

(5)
First-principles (SCAN) data for TlRe2Mo at its PBEsol-relaxed geometry, as listed in Alexandria.

Cell lengths 3.1417, 4.5079, 9.1486 Å; angles 90.00, 90.00, 90.00 degrees
Space group Immm (No. 71)
One atom of each set of equivalent atoms:
Tl (0.0000, 0.0000, 0.0000) [2 per cell]
Re (0.0000, 0.5000, 0.2378) [4 per cell]
Mo (0.0000, 0.0000, 0.5000) [2 per cell]

Properties
Electronic total energy: -61.611 eV/atom
Excess energy over the best structure of this formula in the dataset: 191 meV per atom
Total moment: 0.00 μB/cell
ΔE_f: 748.5 meV/atom

=====

(6)
First-principles (SCAN) data for ZnReIr2I at its PBEsol-relaxed geometry, as listed in Alexandria.

Cell lengths 4.7650, 4.7650, 4.7890 Å; angles 90.00, 90.00, 90.00 degrees
Space group P4/mmm (No. 123)
One atom of each set of equivalent atoms:
Zn (0.0000, 0.0000, 0.0000) [1 per cell]
Re (0.5000, 0.5000, 0.0000) [1 per cell]
Ir (0.0000, 0.5000, 0.5000) [2 per cell]
I (0.5000, 0.5000, 0.5000) [1 per cell]

Properties
Energy relative to the elements, uncorrected: 2.531 eV per atom
Electronic total energy: -50.179 eV/atom
Total moment: 0.65 μB/cell

=====

(7)
First-principles (SCAN) data for B2RuI at its PBEsol-relaxed geometry, as listed in Alexandria.

Cell lengths 5.8158, 5.8158, 5.8158 Å; angles 90.00, 90.00, 90.00 degrees
Space group Fm-3m (No. 225)
One atom of each set of equivalent atoms:
B (0.2500, 0.2500, 0.2500) [8 per cell]
Ru (0.0000, 0.0000, 0.0000) [4 per cell]
I (0.0000, 0.0000, 0.5000) [4 per cell]

Properties
Energy relative to the elements, uncorrected: 1.918 eV per atom
Electronic total energy: -19.689 eV/atom
Total moment: 0.00 μB/cell

=====

(8)
First-principles (SCAN) data for BaZn3Pd at its PBEsol-relaxed geometry, as listed in Alexandria.

Cell lengths 4.8491, 4.8491, 4.8491 Å; angles 90.00, 90.00, 90.00 degrees
Space group Pm-3m (No. 221)
One atom of each set of equivalent atoms:
Ba (0.0000, 0.0000, 0.0000) [1 per cell]
Zn (0.0000, 0.5000, 0.5000) [3 per cell]
Pd (0.5000, 0.5000, 0.5000) [1 per cell]

Properties
Electronic total energy: -22.939 eV/atom
Total moment: 0.00 μB/cell
ΔE_f: -364.9 meV/atom

=====

(9)
First-principles (SCAN) data for KBiAsSe2 at its PBEsol-relaxed geometry, as listed in Alexandria.

Cell lengths 5.2750, 5.2750, 5.8876 Å; angles 90.00, 90.00, 90.00 degrees
Space group P4/mmm (No. 123)
One atom of each set of equivalent atoms:
K (0.0000, 0.0000, 0.0000) [1 per cell]
Bi (0.0000, 0.0000, 0.5000) [1 per cell]
As (0.5000, 0.5000, 0.5000) [1 per cell]
Se (0.0000, 0.5000, 0.0000) [2 per cell]

Properties
Energy relative to the elements, uncorrected: 1.365 eV per atom
Electronic total energy: -28.086 eV/atom
Total moment: 0.01 μB/cell

=====

(10)
First-principles (SCAN) data for Ti2ReO2 at its PBEsol-relaxed geometry, as listed in Alexandria.

Cell lengths 3.2531, 3.2531, 11.1859 Å; angles 90.00, 90.00, 90.00 degrees
Space group I4/mmm (No. 139)
One atom of each set of equivalent atoms:
Ti (0.0000, 0.0000, 0.1471) [4 per cell]
Re (0.0000, 0.0000, 0.5000) [2 per cell]
O (0.0000, 0.5000, 0.2500) [4 per cell]

Properties
Energy relative to the elements, uncorrected: -1.596 eV per atom
Electronic total energy: -24.719 eV/atom
Total moment: 1.48 μB/cell

=====

(11)
First-principles (SCAN) data for TaCoMo at its PBEsol-relaxed geometry, as listed in Alexandria.

Cell lengths 3.1451, 3.1451, 8.7904 Å; angles 90.00, 90.00, 90.00 degrees
Space group I4mm (No. 107)
One atom of each set of equivalent atoms:
Ta (0.0000, 0.0000, 0.0000) [2 per cell]
Co (0.0000, 0.0000, 0.6645) [2 per cell]
Mo (0.0000, 0.0000, 0.3215) [2 per cell]

Properties
Electronic total energy: -39.527 eV/atom
Excess energy over the best structure of this formula in the dataset: 0 meV per atom
Total moment: 4.28 μB/cell
ΔE_f: 63.6 meV/atom

=====

(12)
First-principles (SCAN) data for SrTc2Pb at its PBEsol-relaxed geometry, as listed in Alexandria.

Cell lengths 3.7059, 3.7059, 6.6728 Å; angles 90.00, 90.00, 90.00 degrees
Space group P4/mmm (No. 123)
One atom of each set of equivalent atoms:
Sr (0.0000, 0.0000, 0.0000) [1 per cell]
Tc (0.5000, 0.5000, 0.3325) [2 per cell]
Pb (0.0000, 0.0000, 0.5000) [1 per cell]

Properties
Electronic total energy: -41.290 eV/atom
Total moment: 0.00 μB/cell
ΔE_f: 754.4 meV/atom